Compound: MgSc3Pb
Source: Alexandria
Functional: meta-GGA SCAN
Structure: single point on PBEsol structure

```
MgSc3Pb
1.0
5.1192 0.0000 0.0000
0.0000 5.1192 0.0000
0.0000 0.0000 5.1192
Pb Sc Mg
1 3 1
direct
0.5000 0.5000 0.5000
0.0000 0.5000 0.0000
0.0000 0.0000 0.5000
0.5000 0.0000 0.0000
0.0000 0.0000 0.0000
```

## Properties
energy of formation from the pure elements: 44.9 kJ/mol of atoms
mass density: 4.53 g cm⁻³